A plane-wave DFT calculation with PBE+U was carried out for a geometry-optimized LiMnVP3O12 structure.

abc: 8.457 8.568 8.623
angles: 89.41 61.46 60.73
Atoms (fractional coordinates):
Li 0.000 0.000 0.000
Li 0.077 0.340 0.867
Mn 0.318 0.024 0.504
Mn 0.759 0.318 0.363
V 0.321 0.527 0.008
V 0.756 0.814 0.858
P 0.241 0.718 0.690
P 0.261 0.907 0.187
P 0.525 0.153 0.688
P 0.552 0.188 0.179
P 0.816 0.434 0.679
P 0.836 0.624 0.177
O 0.038 0.603 0.168
O 0.040 0.739 0.699
O 0.085 0.046 0.159
O 0.208 0.913 0.697
O 0.209 0.703 0.883
O 0.209 0.956 0.383
O 0.296 0.709 0.149
O 0.351 0.340 0.847
O 0.383 0.106 0.665
O 0.385 0.177 0.349
O 0.423 0.346 0.114
O 0.442 0.556 0.528
O 0.477 0.886 0.044
O 0.600 0.456 0.822
O 0.635 0.785 0.338
O 0.654 0.995 0.752
O 0.692 0.164 0.517
O 0.695 0.235 0.201
O 0.726 0.001 0.019
O 0.782 0.632 0.718
O 0.868 0.385 0.484
O 0.868 0.638 0.983
O 0.869 0.428 0.170
O 0.992 0.295 0.707

Values from the calculation:
Raw total energy, eV/atom: -7.1945
Space group: No. 1

A plane-wave DFT calculation with PBE+U was carried out for a geometry-optimized LiPaMnO4 structure.

abc: 6.306 6.306 6.306
angles: 122.51 111.30 95.70
Atoms (fractional coordinates):
Li 0.374 0.124 0.250
Li 0.626 0.876 0.750
Pa 0.000 0.500 0.500
Pa 0.500 0.500 0.000
Mn 0.000 0.000 0.500
Mn 0.000 0.500 0.000
O 0.207 0.749 0.458
O 0.209 0.251 0.958
O 0.255 0.282 0.526
O 0.255 0.729 0.974
O 0.745 0.271 0.026
O 0.745 0.718 0.474
O 0.791 0.749 0.042
O 0.793 0.251 0.542

Values from the calculation:
Raw total energy, eV/atom: -7.8456
Space group: No. 74

A plane-wave DFT calculation with PBE+U was carried out for a geometry-optimized LiPa2MnO6 structure.

abc: 5.102 5.102 5.251
angles: 90.00 90.00 90.00
Atoms (fractional coordinates):
Li 0.000 0.000 0.000
Pa 0.000 0.500 0.418
Pa 0.500 0.000 0.418
Mn 0.500 0.500 0.979
O 0.000 0.000 0.609
O 0.248 0.248 0.184
O 0.248 0.752 0.184
O 0.500 0.500 0.597
O 0.752 0.248 0.184
O 0.752 0.752 0.184

Values from the calculation:
Raw total energy, eV/atom: -8.4284
Space group: No. 99

A plane-wave DFT calculation with PBE+U was carried out for a geometry-optimized Li3PaMn4O12 structure.

abc: 6.351 6.351 6.351
angles: 109.47 109.47 109.47
Atoms (fractional coordinates):
Li 0.000 0.500 0.500
Li 0.500 0.000 0.500
Li 0.500 0.500 0.000
Pa 0.000 0.000 0.000
Mn 0.000 0.000 0.500
Mn 0.000 0.500 0.000
Mn 0.500 0.000 0.000
Mn 0.500 0.500 0.500
O 0.108 0.286 0.821
O 0.179 0.465 0.286
O 0.179 0.892 0.714
O 0.286 0.179 0.465
O 0.286 0.821 0.108
O 0.465 0.286 0.179
O 0.535 0.714 0.821
O 0.714 0.179 0.892
O 0.714 0.821 0.535
O 0.821 0.108 0.286
O 0.821 0.535 0.714
O 0.892 0.714 0.179

Values from the calculation:
Raw total energy, eV/atom: -7.1014
Space group: No. 204